Pu2Si4GePt3 | PBE | optimized geometry

E   -8.05 eV per atom
M_tot   10.53 μB per cell
Space group   P-4m2 (115)
Fermi-level density of states   25.5 states/eV/cell
Formation energy from raw total energies   -0.74 eV per atom

POSCAR file:
```
Pu2Si4GePt3
1.0
4.295 0.000 0.000
0.000 4.295 0.000
0.000 0.000 9.704
Pu Si Ge Pt
2 4 1 3
Direct
0.500 0.000 0.250
0.000 0.500 0.750
0.500 0.500 0.000
0.000 0.000 0.000
0.500 0.000 0.637
0.000 0.500 0.363
0.500 0.500 0.500
0.000 0.000 0.500
0.500 0.000 0.881
0.000 0.500 0.119
```



Pu2SiGe4Pt3 | PBE | optimized geometry

E   -7.63 eV per atom
M_tot   10.74 μB per cell
Space group   P-4m2 (115)
Fermi-level density of states   27.1 states/eV/cell
Formation energy from raw total energies   -0.57 eV per atom

POSCAR file:
```
Pu2SiGe4Pt3
1.0
4.384 0.000 0.000
0.000 4.384 0.000
0.000 0.000 9.964
Pu Si Ge Pt
2 1 4 3
Direct
0.500 0.000 0.255
0.000 0.500 0.745
0.500 0.500 0.500
0.500 0.500 0.000
0.000 0.000 0.000
0.500 0.000 0.633
0.000 0.500 0.367
0.000 0.000 0.500
0.500 0.000 0.877
0.000 0.500 0.123
```



Pu2Si3GePt4 | PBE | optimized geometry

E   -8.21 eV per atom
M_tot   10.83 μB per cell
Space group   P-4m2 (115)
Fermi-level density of states   28.5 states/eV/cell
Formation energy from raw total energies   -0.84 eV per atom

POSCAR file:
```
Pu2Si3GePt4
1.0
-0.791 -4.205 0.149
3.835 -0.783 -1.735
3.986 -0.429 9.006
Pu Si Ge Pt
2 3 1 4
Direct
0.500 0.000 0.254
0.000 0.500 0.746
0.000 0.000 0.500
0.500 0.000 0.871
0.000 0.500 0.129
0.500 0.500 0.500
0.500 0.500 0.000
0.000 0.000 0.000
0.500 0.000 0.629
0.000 0.500 0.371
```



SmPuGePt | PBE | optimized geometry

E   -8.09 eV per atom
M_tot   5.23 μB per cell
Energy of formation   -0.665 eV/atom
Space group   F-43m (216)
Fermi-level density of states   10.6 states/eV/cell

POSCAR file:
```
SmPuGePt
1.0
-3.326 -2.382 -3.006
0.967 -4.712 -1.623
-2.699 -3.907 1.795
Ge Sm Pt Pu
1 1 1 1
Direct
0.750 0.750 0.750
0.500 0.500 0.500
0.250 0.250 0.250
0.000 0.000 0.000
```



Sm2PuGe4Pt3 | PBE | optimized geometry

E   -6.79 eV per atom
M_tot   5.32 μB per cell
Energy of formation   -0.754 eV/atom
Space group   P-4m2 (115)
Fermi-level density of states   13.8 states/eV/cell

POSCAR file:
```
Sm2PuGe4Pt3
1.0
4.275 0.000 0.000
0.000 4.275 0.000
0.000 0.000 11.523
Sm Pu Ge Pt
2 1 4 3
Direct
0.500 0.000 0.230
0.000 0.500 0.770
0.500 0.500 0.500
0.500 0.500 0.000
0.000 0.000 0.000
0.500 0.000 0.668
0.000 0.500 0.332
0.000 0.000 0.500
0.500 0.000 0.882
0.000 0.500 0.118
```



SmPu2Ge2Pt7 | PBE | optimized geometry

E   -7.86 eV per atom
M_tot   10.97 μB per cell
Energy of formation   -0.787 eV/atom
Space group   C2/m (12)
Fermi-level density of states   28.0 states/eV/cell

POSCAR file:
```
SmPu2Ge2Pt7
1.0
4.095 0.024 -0.080
0.029 4.095 -0.080
1.744 1.741 14.029
Sm Pu Ge Pt
1 2 2 7
Direct
0.000 0.000 0.000
0.889 0.889 0.367
0.111 0.111 0.633
0.592 0.592 0.744
0.408 0.408 0.256
0.500 0.500 0.000
0.375 0.375 0.429
0.625 0.625 0.571
0.943 0.444 0.156
0.444 0.943 0.156
0.556 0.057 0.844
0.057 0.556 0.844
```



Sm2PuGe3Pt4 | PBE | optimized geometry

E   -7.03 eV per atom
M_tot   5.47 μB per cell
Energy of formation   -0.855 eV/atom
Space group   P-4m2 (115)
Fermi-level density of states   12.0 states/eV/cell

POSCAR file:
```
Sm2PuGe3Pt4
1.0
-0.031 -4.312 -0.088
1.197 -0.093 4.142
-10.710 0.013 3.094
Sm Pu Ge Pt
2 1 3 4
Direct
0.500 0.000 0.222
0.000 0.500 0.778
0.500 0.500 0.500
0.000 0.000 0.500
0.500 0.000 0.879
0.000 0.500 0.121
0.500 0.500 0.000
0.000 0.000 0.000
0.500 0.000 0.660
0.000 0.500 0.340
```



PuSn2Ge2Pt7 | PBE | optimized geometry

E   -6.66 eV per atom
M_tot   4.53 μB per cell
Energy of formation   -0.502 eV/atom
Space group   C2/m (12)
Fermi-level density of states   15.6 states/eV/cell

POSCAR file:
```
PuSn2Ge2Pt7
1.0
3.944 -0.002 0.006
0.003 3.944 0.006
1.959 1.956 15.821
Pu Sn Ge Pt
1 2 2 7
Direct
0.000 0.000 0.000
0.786 0.786 0.427
0.214 0.214 0.573
0.622 0.622 0.758
0.378 0.378 0.242
0.500 0.500 0.000
0.301 0.301 0.397
0.699 0.699 0.603
0.928 0.428 0.143
0.428 0.928 0.143
0.572 0.072 0.857
0.072 0.572 0.857
```



TbPu2Ge3Pt4 | PBE | optimized geometry

E   -7.88 eV per atom
M_tot   11.24 μB per cell
Energy of formation   -0.753 eV/atom
Space group   P-4m2 (115)
Fermi-level density of states   27.8 states/eV/cell

POSCAR file:
```
TbPu2Ge3Pt4
1.0
-3.880 1.484 -0.734
0.128 -1.596 -3.903
-4.493 -9.832 3.872
Tb Pu Ge Pt
1 2 3 4
Direct
0.500 0.500 0.500
0.500 0.000 0.230
0.000 0.500 0.770
0.000 0.000 0.500
0.500 0.000 0.875
0.000 0.500 0.125
0.500 0.500 0.000
0.000 0.000 0.000
0.500 0.000 0.661
0.000 0.500 0.339
```



Tb2PuGe3Pt4 | PBE | optimized geometry

E   -7.00 eV per atom
M_tot   5.50 μB per cell
Energy of formation   -0.837 eV/atom
Space group   P-4m2 (115)
Fermi-level density of states   12.2 states/eV/cell

POSCAR file:
```
Tb2PuGe3Pt4
1.0
-2.735 -2.738 -1.775
-1.480 -1.023 3.859
-7.687 8.183 -0.779
Tb Pu Ge Pt
2 1 3 4
Direct
0.500 0.000 0.221
0.000 0.500 0.779
0.500 0.500 0.500
0.000 0.000 0.500
0.500 0.000 0.876
0.000 0.500 0.124
0.500 0.500 0.000
0.000 0.000 0.000
0.500 0.000 0.661
0.000 0.500 0.339
```



TbPuGePt | PBE | optimized geometry

E   -8.10 eV per atom
M_tot   5.21 μB per cell
Energy of formation   -0.699 eV/atom
Space group   F-43m (216)
Fermi-level density of states   10.2 states/eV/cell

POSCAR file:
```
TbPuGePt
1.0
-1.623 4.187 2.272
-4.733 0.274 1.687
-0.912 -0.014 4.949
Ge Tb Pt Pu
1 1 1 1
Direct
0.250 0.250 0.250
0.000 0.000 0.000
0.750 0.750 0.750
0.500 0.500 0.500
```



Pu2ThGe2Pt2 | PBE | optimized geometry

E   -8.97 eV per atom
M_tot   10.59 μB per cell
Energy of formation   -0.767 eV/atom
Space group   R-3m (166)
Fermi-level density of states   11.6 states/eV/cell

POSCAR file:
```
Pu2ThGe2Pt2
1.0
-3.326 2.948 0.060
-3.271 -0.400 2.982
2.278 5.788 6.587
Pu Th Ge Pt
2 1 2 2
Direct
0.140 0.140 0.580
0.860 0.860 0.420
0.000 0.000 0.000
0.737 0.737 0.789
0.263 0.263 0.211
0.582 0.582 0.254
0.418 0.418 0.746
```



Please write out number 7 again, unchanged.
Sm2PuGe3Pt4 | PBE | optimized geometry

E   -7.03 eV per atom
M_tot   5.47 μB per cell
Energy of formation   -0.855 eV/atom
Space group   P-4m2 (115)
Fermi-level density of states   12.0 states/eV/cell

POSCAR file:
```
Sm2PuGe3Pt4
1.0
-0.031 -4.312 -0.088
1.197 -0.093 4.142
-10.710 0.013 3.094
Sm Pu Ge Pt
2 1 3 4
Direct
0.500 0.000 0.222
0.000 0.500 0.778
0.500 0.500 0.500
0.000 0.000 0.500
0.500 0.000 0.879
0.000 0.500 0.121
0.500 0.500 0.000
0.000 0.000 0.000
0.500 0.000 0.660
0.000 0.500 0.340
```